Entry 1:
A plane-wave DFT calculation with PBE was carried out for a relaxed Ac3CoSi2 crystal.

Computed properties:
For the spin magnetization, the calculation gives 0.0 Bohr magnetons per cell. Its uncorrected formation energy is -456 meV per atom.

Cell: 12.4132 4.3472 12.3918 Å, 90.00 90.00 90.00°
Space group Pnma (No. 62)
Unique sites:
Ac: 0.0602 0.2500 0.1271 (multiplicity 4)
Ac: 0.1145 0.7500 0.5568 (multiplicity 4)
Ac: 0.2109 0.2500 0.8024 (multiplicity 4)
Co: 0.1330 0.2500 0.3656 (multiplicity 4)
Si: 0.0395 0.7500 0.3194 (multiplicity 4)
Si: 0.2038 0.7500 0.9883 (multiplicity 4)

=====

Entry 2:
A plane-wave DFT calculation with PBE was carried out for a relaxed AcCoSi2 crystal.

Computed properties:
The value obtained for the energy above the lowest structure with this stoichiometry is 0.052 eV/atom. For the spin magnetization, the calculation gives 0.0 Bohr magnetons per cell. Its uncorrected formation energy is -589 meV per atom.

Cell: 7.1177 4.1677 10.5983 Å, 90.00 90.00 90.00°
Space group Pnma (No. 62)
Unique sites:
Ac: 0.1556 0.2500 0.1225 (multiplicity 4)
Co: 0.0038 0.2500 0.6421 (multiplicity 4)
Si: 0.1141 0.2500 0.4335 (multiplicity 4)
Si: 0.1863 0.2500 0.8225 (multiplicity 4)

=====

Entry 3:
A plane-wave DFT calculation with PBE was carried out for a relaxed Ac2Co12Si7 crystal.

Computed properties:
For the spin magnetization, the calculation gives 1.8 Bohr magnetons per cell. Its uncorrected formation energy is -443 meV per atom.

Cell: 9.3098 9.3098 3.7557 Å, 90.00 90.00 120.00°
Space group P-6 (No. 174)
Unique sites:
Ac: 0.0000 0.0000 0.0000 (multiplicity 1)
Ac: 0.3333 0.6667 0.5000 (multiplicity 1)
Co: 0.0410 0.7609 0.5000 (multiplicity 3)
Co: 0.1065 0.3908 0.0000 (multiplicity 3)
Co: 0.3939 0.1996 0.0000 (multiplicity 3)
Co: 0.5619 0.1250 0.5000 (multiplicity 3)
Si: 0.0470 0.6148 0.0000 (multiplicity 3)
Si: 0.2833 0.0376 0.5000 (multiplicity 3)
Si: 0.6667 0.3333 0.0000 (multiplicity 1)

=====

Entry 4:
A plane-wave DFT calculation with PBE was carried out for a relaxed Ac2CoSi3 crystal.

Computed properties:
For the spin magnetization, the calculation gives 0.0 Bohr magnetons per cell. Its uncorrected formation energy is -625 meV per atom.

Cell: 8.3108 9.1498 14.3351 Å, 90.00 90.00 90.00°
Space group Fmmm (No. 69)
Unique sites:
Ac: 0.0000 0.2479 0.0000 (multiplicity 8)
Ac: 0.2500 0.2500 0.2500 (multiplicity 8)
Co: 0.0000 0.0000 0.1664 (multiplicity 8)
Si: 0.0000 0.0000 0.3281 (multiplicity 8)
Si: 0.2432 0.0000 0.0859 (multiplicity 16)

=====

Entry 5:
A plane-wave DFT calculation with PBE was carried out for a relaxed AcCoSi3 crystal.

Computed properties:
For the spin magnetization, the calculation gives 0.0 Bohr magnetons per cell. Its uncorrected formation energy is -576 meV per atom.

Cell: 4.2699 4.2699 9.7830 Å, 90.00 90.00 90.00°
Space group I4mm (No. 107)
Unique sites:
Ac: 0.0000 0.0000 0.0000 (multiplicity 2)
Co: 0.0000 0.0000 0.6536 (multiplicity 2)
Si: 0.0000 0.0000 0.4125 (multiplicity 2)
Si: 0.0000 0.5000 0.2529 (multiplicity 4)

=====

Entry 6:
A plane-wave DFT calculation with PBE was carried out for a relaxed AcCoSi2 crystal.

Computed properties:
The value obtained for the energy above the lowest structure with this stoichiometry is 0.069 eV/atom. For the spin magnetization, the calculation gives 0.0 Bohr magnetons per cell. Its uncorrected formation energy is -572 meV per atom.

Cell: 4.1298 17.2394 4.3486 Å, 90.00 90.00 90.00°
Space group Cmmm (No. 65)
Unique sites:
Ac: 0.0000 0.1431 0.0000 (multiplicity 4)
Co: 0.0000 0.4297 0.5000 (multiplicity 4)
Si: 0.0000 0.0000 0.5000 (multiplicity 2)
Si: 0.0000 0.2916 0.5000 (multiplicity 4)
Si: 0.0000 0.5000 0.0000 (multiplicity 2)

=====

Entry 7:
A plane-wave DFT calculation with PBE was carried out for a relaxed Ac2Co2Si crystal.

Computed properties:
For the spin magnetization, the calculation gives 0.0 Bohr magnetons per cell. Its uncorrected formation energy is -345 meV per atom.

Cell: 4.0163 4.0163 27.1386 Å, 90.00 90.00 120.00°
Space group R-3m (No. 166, hexagonal axes)
Unique sites:
Ac: 0.0000 0.0000 0.0769 (multiplicity 6)
Co: 0.0000 0.0000 0.1875 (multiplicity 6)
Si: 0.0000 0.0000 0.5000 (multiplicity 3)

=====

Entry 8:
A plane-wave DFT calculation with PBE was carried out for a relaxed AcCoSi2 crystal.

Computed properties:
The value obtained for the energy above the lowest structure with this stoichiometry is 0.000 eV/atom. For the spin magnetization, the calculation gives 0.0 Bohr magnetons per cell. Its uncorrected formation energy is -641 meV per atom.

Cell: 3.9704 3.9704 16.9166 Å, 90.00 90.00 120.00°
Space group R-3m (No. 166, hexagonal axes)
Unique sites:
Ac: 0.0000 0.0000 0.0000 (multiplicity 3)
Co: 0.0000 0.0000 0.5000 (multiplicity 3)
Si: 0.0000 0.0000 0.2010 (multiplicity 6)

=====

Entry 9:
A plane-wave DFT calculation with PBE was carried out for a relaxed AcCo4Si12 crystal.

Computed properties:
For the spin magnetization, the calculation gives 0.0 Bohr magnetons per cell. Its uncorrected formation energy is -185 meV per atom.

Cell: 8.3141 8.3141 8.3141 Å, 90.00 90.00 90.00°
Space group Im-3 (No. 204)
Unique sites:
Ac: 0.0000 0.0000 0.0000 (multiplicity 2)
Co: 0.2500 0.2500 0.2500 (multiplicity 8)
Si: 0.0000 0.2332 0.3539 (multiplicity 24)

=====

Entry 10:
A plane-wave DFT calculation with PBE was carried out for a relaxed Ac2CoSi2Tc crystal.

Computed properties:
For the spin magnetization, the calculation gives 0.5 Bohr magnetons per cell. Its uncorrected formation energy is -543 meV per atom.

Cell: 5.9727 15.3287 6.0414 Å, 90.00 90.00 90.00°
Space group Ibam (No. 72)
Unique sites:
Ac: 0.2487 0.1544 0.0000 (multiplicity 8)
Co: 0.0000 0.0000 0.2500 (multiplicity 4)
Si: 0.2384 0.0741 0.5000 (multiplicity 8)
Tc: 0.0000 0.5000 0.2500 (multiplicity 4)

=====

Entry 11:
A plane-wave DFT calculation with PBE was carried out for a relaxed AcCoSi2Tc crystal.

Computed properties:
For the spin magnetization, the calculation gives 0.0 Bohr magnetons per cell. Its uncorrected formation energy is -614 meV per atom.

Cell: 4.2100 4.2100 10.4082 Å, 90.00 90.00 90.00°
Space group I-4m2 (No. 119)
Unique sites:
Ac: 0.0000 0.0000 0.0000 (multiplicity 2)
Co: 0.0000 0.5000 0.7500 (multiplicity 2)
Si: 0.0000 0.0000 0.3547 (multiplicity 4)
Tc: 0.0000 0.5000 0.2500 (multiplicity 2)

=====

Entry 12:
A plane-wave DFT calculation with PBE was carried out for a relaxed AcSmCo crystal.

Computed properties:
The calculated formation energy comes out at -9 meV per atom. The value obtained for the energy above the lowest structure with this stoichiometry is 0.018 eV/atom. For the spin magnetization, the calculation gives 0.2 Bohr magnetons per cell.

Cell: 6.6111 3.9153 7.0254 Å, 90.00 98.43 90.00°
Space group P2_1/m (No. 11)
Unique sites:
Ac: 0.1247 0.2500 0.2890 (multiplicity 2)
Sm: 0.3816 0.2500 0.7943 (multiplicity 2)
Co: 0.3978 0.7500 0.5254 (multiplicity 2)

=====

Entry 13:
A plane-wave DFT calculation with PBE was carried out for a relaxed AcSmCo crystal.

Computed properties:
The calculated formation energy comes out at -7 meV per atom. The value obtained for the energy above the lowest structure with this stoichiometry is 0.019 eV/atom. For the spin magnetization, the calculation gives 0.0 Bohr magnetons per cell.

Cell: 4.1100 4.1100 6.4950 Å, 90.00 90.00 120.00°
Space group P3m1 (No. 156)
Unique sites:
Ac: 0.0000 0.0000 0.0000 (multiplicity 1)
Sm: 0.6667 0.3333 0.5440 (multiplicity 1)
Co: 0.3333 0.6667 0.7579 (multiplicity 1)

=====

Entry 14:
A plane-wave DFT calculation with PBE was carried out for a relaxed AcSm3Co crystal.

Computed properties:
The calculated formation energy comes out at -39 meV per atom. The value obtained for the energy above the lowest structure with this stoichiometry is 0.000 eV/atom. For the spin magnetization, the calculation gives 0.0 Bohr magnetons per cell.

Cell: 13.5860 3.8693 11.7511 Å, 90.00 93.31 90.00°
Space group C2/m (No. 12)
Unique sites:
Ac: 0.1571 0.0000 0.0886 (multiplicity 4)
Sm: 0.0596 0.0000 0.3776 (multiplicity 4)
Sm: 0.0725 0.5000 0.8274 (multiplicity 4)
Sm: 0.2164 0.0000 0.6331 (multiplicity 4)
Co: 0.0844 0.5000 0.5598 (multiplicity 4)

=====

Entry 15:
A plane-wave DFT calculation with PBE was carried out for a relaxed AcSm2Co crystal.

Computed properties:
The calculated formation energy comes out at 38 meV per atom. The value obtained for the energy above the lowest structure with this stoichiometry is 0.100 eV/atom. For the spin magnetization, the calculation gives 0.8 Bohr magnetons per cell.

Cell: 3.5675 3.5675 9.3080 Å, 90.00 90.00 90.00°
Space group P4/mmm (No. 123)
Unique sites:
Ac: 0.0000 0.0000 0.0000 (multiplicity 1)
Sm: 0.5000 0.5000 0.3263 (multiplicity 2)
Co: 0.0000 0.0000 0.5000 (multiplicity 1)

=====

Entry 16:
A plane-wave DFT calculation with PBE was carried out for a relaxed AcSm3Co crystal.

Computed properties:
The calculated formation energy comes out at -29 meV per atom. The value obtained for the energy above the lowest structure with this stoichiometry is 0.010 eV/atom. For the spin magnetization, the calculation gives 0.2 Bohr magnetons per cell.

Cell: 7.7533 7.7533 6.1019 Å, 90.00 90.00 120.00°
Space group P6_3/mmc (No. 194)
Unique sites:
Ac: 0.3333 0.6667 0.2500 (multiplicity 2)
Sm: 0.1690 0.3380 0.7500 (multiplicity 6)
Co: 0.0000 0.0000 0.0000 (multiplicity 2)

=====

Entry 17:
A plane-wave DFT calculation with PBE was carried out for a relaxed Ac12SmCo6 crystal.

Computed properties:
The calculated formation energy comes out at -7 meV per atom. For the spin magnetization, the calculation gives 0.0 Bohr magnetons per cell.

Cell: 10.6984 10.6984 10.6984 Å, 90.00 90.00 90.00°
Space group Im-3 (No. 204)
Unique sites:
Ac: 0.0000 0.3148 0.1903 (multiplicity 24)
Sm: 0.0000 0.0000 0.0000 (multiplicity 2)
Co: 0.0000 0.1071 0.5000 (multiplicity 12)

=====

Entry 18:
A plane-wave DFT calculation with PBE was carried out for a relaxed AcSmCo3 crystal.

Computed properties:
The calculated formation energy comes out at -44 meV per atom. For the spin magnetization, the calculation gives 8.0 Bohr magnetons per cell.

Cell: 4.3847 23.6281 4.0205 Å, 90.00 90.00 90.00°
Space group Cmcm (No. 63)
Unique sites:
Ac: 0.0000 0.0728 0.2500 (multiplicity 4)
Sm: 0.0000 0.2076 0.7500 (multiplicity 4)
Co: 0.0000 0.3299 0.7500 (multiplicity 4)
Co: 0.0000 0.3754 0.2500 (multiplicity 4)
Co: 0.0000 0.4755 0.2500 (multiplicity 4)

=====

Entry 19:
A plane-wave DFT calculation with PBE was carried out for a relaxed AcSmCo crystal.

Computed properties:
The calculated formation energy comes out at -26 meV per atom. The value obtained for the energy above the lowest structure with this stoichiometry is 0.000 eV/atom. For the spin magnetization, the calculation gives 0.0 Bohr magnetons per cell.

Cell: 3.8451 6.9752 6.5073 Å, 90.00 107.12 90.00°
Space group P2_1/m (No. 11)
Unique sites:
Ac: 0.2260 0.2500 0.4531 (multiplicity 2)
Sm: 0.5000 0.0000 0.0000 (multiplicity 2)
Co: 0.1065 0.7500 0.2129 (multiplicity 2)

=====

Entry 20:
A plane-wave DFT calculation with PBE was carried out for a relaxed AcSm2Co crystal.

Computed properties:
The calculated formation energy comes out at 127 meV per atom. The value obtained for the energy above the lowest structure with this stoichiometry is 0.189 eV/atom. For the spin magnetization, the calculation gives 0.0 Bohr magnetons per cell.

Cell: 3.8429 3.8429 31.8386 Å, 90.00 90.00 120.00°
Space group R-3m (No. 166, hexagonal axes)
Unique sites:
Ac: 0.0000 0.0000 0.0000 (multiplicity 3)
Sm: 0.0000 0.0000 0.1187 (multiplicity 6)
Co: 0.0000 0.0000 0.5000 (multiplicity 3)